Record 1
## AcLa12Dy6 (GGA-PBE)

Data for a geometry-optimized AcLa12Dy6 structure.

Output
E ... -4.569 eV per atom
DOS at the Fermi energy ... 31.84 states/eV/f.u.
Theoretical density ... 6.97 g cm⁻³
DFT formation energy ... 213 meV/atom

Cell lengths 15.2813, 15.2813, 10.1375 Å; angles 90.00, 90.00, 120.00 degrees
Space group R-3 (No. 148, hexagonal axes)
Asymmetric unit:
Ac 0.0000 0.0000 0.0000 [3 per cell]
La 0.0434 0.8597 0.4021 [18 per cell]
La 0.0609 0.5995 0.7661 [18 per cell]
Dy 0.0472 0.8100 0.7580 [18 per cell]



Record 2
## AcLa8Dy3 (GGA-PBE)

Data for a geometry-optimized AcLa8Dy3 structure.

Output
E ... -4.467 eV per atom
DOS at the Fermi energy ... 19.12 states/eV/f.u.
Theoretical density ... 6.51 g cm⁻³
DFT formation energy ... 311 meV/atom

Cell lengths 6.797, 11.604, 11.804 Å; angles 90.00, 90.00, 90.00 degrees
Space group Immm (No. 71)
Asymmetric unit:
Ac 0.000 0.000 0.000 [2 per cell]
La 0.000 0.175 0.255 [8 per cell]
La 0.220 0.283 0.000 [8 per cell]
Dy 0.000 0.000 0.500 [2 per cell]
Dy 0.000 0.500 0.218 [4 per cell]



Record 3
## Ac2La5Dy4 (GGA-PBE)

Data for a geometry-optimized Ac2La5Dy4 structure.

Output
E ... -4.622 eV per atom
DOS at the Fermi energy ... 18.67 states/eV/f.u.
Theoretical density ... 7.48 g cm⁻³
DFT formation energy ... 38 meV/atom

Cell lengths 3.748, 5.209, 40.927 Å; angles 90.00, 90.00, 90.00 degrees
Space group Immm (No. 71)
Asymmetric unit:
Ac 0.000 0.000 0.091 [4 per cell]
La 0.000 0.000 0.000 [2 per cell]
La 0.000 0.000 0.273 [4 per cell]
La 0.000 0.000 0.361 [4 per cell]
Dy 0.000 0.000 0.183 [4 per cell]
Dy 0.000 0.000 0.456 [4 per cell]



Record 4
## AcLa5Dy2 (GGA-PBE)

Data for a geometry-optimized AcLa5Dy2 structure.

Output
E ... -4.722 eV per atom
DOS at the Fermi energy ... 12.26 states/eV/f.u.
Theoretical density ... 7.06 g cm⁻³
DFT formation energy ... 22 meV/atom
E above lowest polymorph ... 7.6 meV per atom

Cell lengths 3.711, 11.500, 13.745 Å; angles 90.00, 90.00, 90.00 degrees
Space group Immm (No. 71)
Asymmetric unit:
Ac 0.000 0.000 0.000 [2 per cell]
La 0.000 0.228 0.368 [8 per cell]
La 0.000 0.500 0.000 [2 per cell]
Dy 0.000 0.500 0.255 [4 per cell]



Record 5
## Ac5LaDy2 (GGA-PBE)

Data for a geometry-optimized Ac5LaDy2 structure.

Output
E ... -4.301 eV per atom
DOS at the Fermi energy ... 9.57 states/eV/f.u.
Theoretical density ... 8.25 g cm⁻³
DFT formation energy ... 34 meV/atom

Cell lengths 7.683, 15.360, 5.457 Å; angles 90.00, 90.00, 90.00 degrees
Space group Pbam (No. 55)
Asymmetric unit:
Ac 0.000 0.000 0.000 [2 per cell]
Ac 0.003 0.252 0.000 [4 per cell]
Ac 0.246 0.623 0.500 [4 per cell]
La 0.000 0.500 0.000 [2 per cell]
Dy 0.249 0.876 0.500 [4 per cell]



Record 6
## Ac7La4Dy (GGA-PBE)

Data for a geometry-optimized Ac7La4Dy structure.

Output
E ... -4.331 eV per atom
DOS at the Fermi energy ... 20.05 states/eV/f.u.
Theoretical density ... 7.66 g cm⁻³
DFT formation energy ... 92 meV/atom

Cell lengths 7.062, 7.223, 10.137 Å; angles 103.72, 93.94, 92.50 degrees
Space group P-1 (No. 2)
Asymmetric unit:
Ac 0.000 0.000 0.000 [1 per cell]
Ac 0.143 0.791 0.410 [2 per cell]
Ac 0.262 0.511 0.068 [2 per cell]
Ac 0.322 0.278 0.378 [2 per cell]
La 0.207 0.616 0.734 [2 per cell]
La 0.339 0.137 0.725 [2 per cell]
Dy 0.500 0.000 0.000 [1 per cell]



Q: Number 5 is which compound?
A: Ac5LaDy2



Please write out number 1 again, unchanged.
## AcLa12Dy6 (GGA-PBE)

Data for a geometry-optimized AcLa12Dy6 structure.

Output
E ... -4.569 eV per atom
DOS at the Fermi energy ... 31.84 states/eV/f.u.
Theoretical density ... 6.97 g cm⁻³
DFT formation energy ... 213 meV/atom

Cell lengths 15.2813, 15.2813, 10.1375 Å; angles 90.00, 90.00, 120.00 degrees
Space group R-3 (No. 148, hexagonal axes)
Asymmetric unit:
Ac 0.0000 0.0000 0.0000 [3 per cell]
La 0.0434 0.8597 0.4021 [18 per cell]
La 0.0609 0.5995 0.7661 [18 per cell]
Dy 0.0472 0.8100 0.7580 [18 per cell]



Q: What is the formula in the second record?
A: AcLa8Dy3



Q: What is the formula in the fifth record?
A: Ac5LaDy2